Entry 1:
First-principles (PBEsol) data for a geometry-optimized Ta2Se structure, as listed in the Alexandria database.

As for the formation energy from raw total energies: 514 meV per atom. As for the uncorrected energy: -9.14 eV per atom.

The space group is P4/mmm (No. 123) and the conventional cell measures 4.243, 4.243 and 3.111 Å, with angles of 90.00, 90.00 and 90.00 degrees. The inequivalent atoms are Ta at (0.000, 0.500, 0.000) and Se at (0.000, 0.000, 0.500).

---

Entry 2:
First-principles (PBEsol) data for a geometry-optimized Ta3Se structure, as listed in the Alexandria database.

As for the excess energy over the best structure of this formula in the dataset: 0 meV per atom. As for the formation energy from raw total energies: 7 meV per atom. As for the uncorrected energy: -10.37 eV per atom.

The space group is R-3m (No. 166, hexagonal axes) and the conventional cell measures 3.2184, 3.2184 and 24.0291 Å, with angles of 90.00, 90.00 and 120.00 degrees. The inequivalent atoms are Ta at (0.0000, 0.0000, 0.0000), Ta at (0.0000, 0.0000, 0.2472) and Se at (0.0000, 0.0000, 0.5000).

---

Entry 3:
First-principles (PBEsol) data for a geometry-optimized TaSe3 structure, as listed in the Alexandria database.

As for the formation energy from raw total energies: -659 meV per atom. As for the uncorrected energy: -6.68 eV per atom.

The space group is P2_1/m (No. 11) and the conventional cell measures 5.271, 3.447 and 9.316 Å, with angles of 90.00, 97.53 and 90.00 degrees. The inequivalent atoms are Ta at (0.211, 0.250, 0.333), Se at (0.072, 0.250, 0.829), Se at (0.261, 0.750, 0.549) and Se at (0.419, 0.750, 0.171).

---

Entry 4:
First-principles (PBEsol) data for a geometry-optimized TaSe2 structure, as listed in the Alexandria database.

As for the formation energy from raw total energies: -831 meV per atom. As for the uncorrected energy: -7.58 eV per atom.

The space group is P-6m2 (No. 187) and the conventional cell measures 3.4173, 3.4173 and 25.3429 Å, with angles of 90.00, 90.00 and 120.00 degrees. The inequivalent atoms are Ta at (0.0000, 0.0000, 0.0000), Ta at (0.0000, 0.0000, 0.2480), Ta at (0.3333, 0.6667, 0.5000), Se at (0.0000, 0.0000, 0.4340), Se at (0.3333, 0.6667, 0.0660), Se at (0.6667, 0.3333, 0.1823) and Se at (0.6667, 0.3333, 0.3142).

---

Entry 5:
First-principles (PBEsol) data for a geometry-optimized Ta2Se structure, as listed in the Alexandria database.

As for the formation energy from raw total energies: -51 meV per atom. As for the uncorrected energy: -9.70 eV per atom.

The space group is I4/mmm (No. 139) and the conventional cell measures 3.017, 3.017 and 11.204 Å, with angles of 90.00, 90.00 and 90.00 degrees. The inequivalent atoms are Ta at (0.000, 0.000, 0.150) and Se at (0.000, 0.000, 0.500).

---

Entry 6:
First-principles (PBEsol) data for a geometry-optimized TaSe2 structure, as listed in the Alexandria database.

As for the formation energy from raw total energies: -832 meV per atom. As for the uncorrected energy: -7.58 eV per atom.

The space group is P6_3/mmc (No. 194) and the conventional cell measures 3.4165, 3.4165 and 12.5666 Å, with angles of 90.00, 90.00 and 120.00 degrees. The inequivalent atoms are Ta at (0.0000, 0.0000, 0.2500) and Se at (0.3333, 0.6667, 0.1169).

---

Entry 7:
First-principles (PBEsol) data for a geometry-optimized Ta2Se structure, as listed in the Alexandria database.

As for the formation energy from raw total energies: -479 meV per atom. As for the uncorrected energy: -10.13 eV per atom.

The space group is P4/nmm (No. 129, origin choice 2) and the conventional cell measures 3.357, 3.357 and 9.826 Å, with angles of 90.00, 90.00 and 90.00 degrees. The inequivalent atoms are Ta at (0.250, 0.250, 0.077), Ta at (0.250, 0.250, 0.758) and Se at (0.250, 0.250, 0.365).

---

Entry 8:
First-principles (PBEsol) data for a geometry-optimized TaSe3 structure, as listed in the Alexandria database.

As for the formation energy from raw total energies: -284 meV per atom. As for the uncorrected energy: -6.31 eV per atom.

The space group is P-6m2 (No. 187) and the conventional cell measures 3.2919, 3.2919 and 9.1784 Å, with angles of 90.00, 90.00 and 120.00 degrees. The inequivalent atoms are Ta at (0.0000, 0.0000, 0.0000), Se at (0.0000, 0.0000, 0.5000) and Se at (0.6667, 0.3333, 0.1884).